Ba2NaPt | the Alexandria database | PBE | relaxed; crystal system = trigonal; M_tot = 0.00 Bohr magnetons per cell; uncorrected energy = -3.19 eV per atom
1.0
2.260 1.305 11.481
-2.260 1.305 11.481
0.000 -2.610 11.481
Ba Na Pt
2 1 1
Direct
0.116 0.116 0.116
0.884 0.884 0.884
0.000 0.000 0.000
0.500 0.500 0.500